Record 1
VASP calculation (PBE) on crystalline Ce2NdVN4 at its relaxed geometry.

abc: 3.4596 11.7552 12.0701
angles: 90.00 90.00 90.00
Space group Cmcm (No. 63)
Inequivalent atoms, fractional coordinates:
Ce1 0.0000 0.1331 0.0449 x8
Nd1 0.0000 0.4000 0.2500 x4
V1 0.0000 0.3352 0.7500 x4
N1 0.0000 0.0734 0.2500 x4
N2 0.0000 0.2330 0.6316 x8
N3 0.0000 0.5000 0.0000 x4

Total magnetization (μB/atom): 0.2846
ρ (g cm⁻³): 7.2
Energy (eV for the cell shown): -275.65

=====

Record 2
VASP calculation (PBE) on crystalline BaIn2GaPd at its relaxed geometry.

abc: 5.2924 5.2924 5.0145
angles: 90.00 90.00 90.00
Space group P4/mmm (No. 123)
Inequivalent atoms, fractional coordinates:
Ba1 0.0000 0.0000 0.0000 x1
In1 0.0000 0.5000 0.5000 x2
Ga1 0.5000 0.5000 0.0000 x1
Pd1 0.5000 0.5000 0.5000 x1

Total magnetization (μB/atom): 0.0000
ρ (g cm⁻³): 6.4
Energy (eV for the cell shown): -17.35
ΔE_f (eV/atom): -0.347

=====

Record 3
VASP calculation (PBE) on crystalline PmDyScTl at its relaxed geometry.

abc: 4.7429 4.7866 4.8263
angles: 90.00 90.00 90.00
Space group Pmmm (No. 47)
Inequivalent atoms, fractional coordinates:
Pm1 0.0000 0.0000 0.0000 x1
Dy1 0.5000 0.5000 0.0000 x1
Sc1 0.5000 0.0000 0.5000 x1
Tl1 0.0000 0.5000 0.5000 x1

Total magnetization (μB/atom): 0.0017
ρ (g cm⁻³): 8.4
Energy (eV for the cell shown): -18.76
ΔE_f (eV/atom): -0.177